Record 1
First-principles (GGA-PBE) data for a geometry-optimized NdCoOs structure, as listed in OQMD.

## Properties
As for the crystal system: cubic. The formation energy comes out at 68 kJ/mol of atoms. The total moment is 2.30 μB/cell. For the calculated total energy, the calculation gives -6.992 eV per atom.

a b c (Å): 4.4963 4.4963 4.4963
angles (deg): 60.00 60.00 60.00
Positions (direct):
Co (0.2500, 0.2500, 0.2500)
Nd (0.7500, 0.7500, 0.7500)
Os (0.0000, 0.0000, 0.0000)



Record 2
First-principles (GGA-PBE) data for a geometry-optimized NdCoSi2Os structure, as listed in OQMD.

## Properties
As for the crystal system: tetragonal. The total moment is 0.00 μB/cell. For the calculated total energy, the calculation gives -7.525 eV per atom.

a b c (Å): 5.7627 5.7627 5.7627
angles (deg): 138.61 138.61 59.97
Positions (direct):
Co (0.7500, 0.2500, 0.5000)
Nd (0.5000, 0.5000, 0.0000)
Os (0.2500, 0.7500, 0.5000)
Si (0.1309, 0.1309, 0.0000)
Si (0.8691, 0.8691, 0.0000)



Record 3
First-principles (GGA-PBE) data for a geometry-optimized NdCo3P2 structure, as listed in OQMD.

## Properties
As for the crystal system: orthorhombic. The total moment is 4.69 μB/cell. For the calculated total energy, the calculation gives -7.006 eV per atom.

a b c (Å): 10.6330 3.7595 12.3386
angles (deg): 90.00 90.00 90.00
Positions (direct):
Co (0.0836, 0.2500, 0.0035)
Co (0.4164, 0.2500, 0.0035)
Co (0.2500, 0.7500, 0.0119)
Co (0.7500, 0.7500, 0.1575)
Co (0.6314, 0.2500, 0.2890)
Co (0.8686, 0.2500, 0.2890)
Co (0.2500, 0.2500, 0.2948)
Co (0.5472, 0.7500, 0.4300)
Co (0.9528, 0.7500, 0.4300)
Co (0.0472, 0.2500, 0.5700)
Co (0.4528, 0.2500, 0.5700)
Co (0.7500, 0.7500, 0.7052)
Co (0.1314, 0.7500, 0.7110)
Co (0.3686, 0.7500, 0.7110)
Co (0.2500, 0.2500, 0.8425)
Co (0.7500, 0.2500, 0.9881)
Co (0.5836, 0.7500, 0.9965)
Co (0.9164, 0.7500, 0.9965)
Nd (0.0676, 0.7500, 0.2058)
Nd (0.4324, 0.7500, 0.2058)
Nd (0.2500, 0.7500, 0.4787)
Nd (0.7500, 0.2500, 0.5213)
Nd (0.5676, 0.2500, 0.7942)
Nd (0.9324, 0.2500, 0.7942)
P (0.5982, 0.2500, 0.1047)
P (0.9018, 0.2500, 0.1047)
P (0.2500, 0.2500, 0.1128)
P (0.7500, 0.7500, 0.3396)
P (0.0562, 0.2500, 0.3859)
P (0.4438, 0.2500, 0.3859)
P (0.5562, 0.7500, 0.6141)
P (0.9438, 0.7500, 0.6141)
P (0.2500, 0.2500, 0.6604)
P (0.7500, 0.7500, 0.8872)
P (0.0982, 0.7500, 0.8953)
P (0.4018, 0.7500, 0.8953)



Record 4
First-principles (GGA-PBE) data for a geometry-optimized NdCo4P12 structure, as listed in OQMD.

## Properties
As for the crystal system: cubic. The total moment is 0.04 μB/cell. For the calculated total energy, the calculation gives -6.303 eV per atom.

a b c (Å): 6.7472 6.7472 6.7472
angles (deg): 109.47 109.47 109.47
Positions (direct):
Co (0.5000, 0.0000, 0.0000)
Co (0.0000, 0.5000, 0.0000)
Co (0.0000, 0.0000, 0.5000)
Co (0.5000, 0.5000, 0.5000)
Nd (0.0000, 0.0000, 0.0000)
P (0.3541, 0.5032, 0.1491)
P (0.6459, 0.7950, 0.1491)
P (0.8509, 0.3541, 0.2050)
P (0.2050, 0.8509, 0.3541)
P (0.5032, 0.1491, 0.3541)
P (0.8509, 0.6459, 0.4968)
P (0.1491, 0.3541, 0.5032)
P (0.7950, 0.1491, 0.6459)
P (0.4968, 0.8509, 0.6459)
P (0.1491, 0.6459, 0.7950)
P (0.3541, 0.2050, 0.8509)
P (0.6459, 0.4968, 0.8509)



Record 5
First-principles (GGA-PBE) data for a geometry-optimized NdCo2P2 structure, as listed in OQMD.

## Properties
As for the crystal system: tetragonal. The total moment is 1.45 μB/cell. For the calculated total energy, the calculation gives -6.935 eV per atom.

a b c (Å): 3.8937 3.8937 5.5697
angles (deg): 110.46 110.46 90.00
Positions (direct):
Co (0.7500, 0.2500, 0.5000)
Co (0.2500, 0.7500, 0.5000)
Nd (0.0000, 0.0000, 0.0000)
P (0.6339, 0.6339, 0.2678)
P (0.3661, 0.3661, 0.7322)



Record 6
First-principles (GGA-PBE) data for a geometry-optimized Nd2Co12P7 structure, as listed in OQMD.

## Properties
As for the crystal system: hexagonal. The total moment is 0.06 μB/cell. For the calculated total energy, the calculation gives -7.051 eV per atom.

a b c (Å): 9.0524 9.0526 3.6246
angles (deg): 90.00 90.00 120.00
Positions (direct):
Co (0.4305, 0.0586, 0.0000)
Co (0.1521, 0.2710, 0.0000)
Co (0.9414, 0.3720, 0.0000)
Co (0.6280, 0.5694, 0.0000)
Co (0.1189, 0.8479, 0.0000)
Co (0.7290, 0.8811, 0.0000)
Co (0.2254, 0.0996, 0.5000)
Co (0.9004, 0.1258, 0.5000)
Co (0.3817, 0.4316, 0.5000)
Co (0.0498, 0.6183, 0.5000)
Co (0.8742, 0.7746, 0.5000)
Co (0.5684, 0.9502, 0.5000)
Nd (0.3334, 0.6667, 0.0000)
Nd (0.6667, 0.3333, 0.5000)
P (0.0000, 0.0000, 0.0000)
P (0.7043, 0.1077, 0.0000)
P (0.4034, 0.2957, 0.0000)
P (0.8923, 0.5965, 0.0000)
P (0.1059, 0.3971, 0.5000)
P (0.6029, 0.7088, 0.5000)
P (0.2912, 0.8941, 0.5000)